1.
This record from the Alexandria database describes LiCuAg2 after structural relaxation. The functional is PBE.

Cell lengths 3.162, 3.162, 6.189 Å; angles 90.00, 90.00, 90.00 degrees
Fractional coordinates of all 4 atoms:
Ag 0.000 0.000 0.975
Ag 0.500 0.500 0.274
Cu 0.000 0.000 0.518
Li 0.500 0.500 0.733

Computed properties:
DOS at the Fermi energy ... 1.1 states/eV/f.u.
Symmetry ... P4mm (99)
Spin magnetization ... 0.0 Bohr magnetons per cell
Calculated total energy ... -2.9417 eV per atom

2.
This record from the Alexandria database describes TlPt2W after structural relaxation. The functional is PBE.

Cell lengths 4.840, 4.840, 5.229 Å; angles 83.08, 83.08, 35.29 degrees
Fractional coordinates of all 4 atoms:
Pt 0.992 0.992 0.027
Pt 0.508 0.508 0.473
Tl 0.750 0.750 0.750
W 0.250 0.250 0.250

Computed properties:
DOS at the Fermi energy ... 2.8 states/eV/f.u.
Symmetry ... C2/m (12)
Spin magnetization ... 0.0 Bohr magnetons per cell
E above lowest polymorph ... 0.303 eV/atom

3.
This record from the Alexandria database describes Sm6Sb2Ir after structural relaxation. The functional is PBE.

Cell lengths 6.451, 8.203, 10.385 Å; angles 90.00, 91.74, 90.00 degrees
Fractional coordinates of all 18 atoms:
Sm 0.877 0.975 0.245
Sm 0.860 0.679 0.544
Sm 0.865 0.680 0.953
Sm 0.635 0.180 0.547
Sm 0.640 0.179 0.956
Sm 0.623 0.475 0.255
Sm 0.123 0.025 0.755
Sm 0.140 0.321 0.456
Sm 0.135 0.320 0.047
Sm 0.365 0.820 0.453
Sm 0.360 0.821 0.044
Sm 0.377 0.525 0.745
Sb 0.910 0.385 0.749
Sb 0.590 0.885 0.751
Sb 0.410 0.115 0.249
Sb 0.090 0.615 0.251
Ir 0.500 0.500 0.000
Ir 0.000 0.000 0.500

Computed properties:
DOS at the Fermi energy ... 10.0 states/eV/f.u.
Symmetry ... P2_1/c (14)
Spin magnetization ... 0.0 Bohr magnetons per cell
Formation energy from raw total energies ... -677.3 meV/atom